Record 1
A plane-wave DFT calculation with GGA-PBE was carried out for a relaxed PtSe2 crystal.

The calculation puts the density of states at the Fermi level at 0.74 states/eV/f.u. Its total DFT energy (no corrections) is -55.84 eV per cell. The calculation puts the size of the total moment at 0.0 μB/f.u.

Geometry as CIF:
```
data_PtSe2
_chemical_formula_sum 'Pt4 Se8'
_space_group_name_H-M_alt 'C m c m'
_space_group_IT_number 63
_space_group_name_Hall '-C 2c 2'
_cell_length_a 3.762
_cell_length_b 12.181
_cell_length_c 5.390
_cell_angle_alpha 90.00
_cell_angle_beta 90.00
_cell_angle_gamma 90.00
loop_
_atom_site_label
_atom_site_type_symbol
_atom_site_fract_x
_atom_site_fract_y
_atom_site_fract_z
Pt1 Pt 0.000 0.162 0.250
Se1 Se 0.000 0.201 0.750
Se2 Se 0.000 0.475 0.750
```

***

Record 2
A plane-wave DFT calculation with GGA-PBE was carried out for a relaxed PtSe crystal.

The calculation puts the density of states at the Fermi level at 1.10 states/eV/f.u. Its total DFT energy (no corrections) is -74.01 eV per cell. The calculation puts the size of the total moment at 0.0 μB/f.u.

Geometry as CIF:
```
data_PtSe
_chemical_formula_sum 'Pt8 Se8'
_space_group_name_H-M_alt 'I -4 3 m'
_space_group_IT_number 217
_space_group_name_Hall 'I -4 2 3'
_cell_length_a 7.768
_cell_length_b 7.768
_cell_length_c 7.768
_cell_angle_alpha 90.00
_cell_angle_beta 90.00
_cell_angle_gamma 90.00
loop_
_atom_site_label
_atom_site_type_symbol
_atom_site_fract_x
_atom_site_fract_y
_atom_site_fract_z
Pt1 Pt 0.169 0.169 0.831
Se1 Se 0.156 0.156 0.156
```

***

Record 3
A plane-wave DFT calculation with GGA-PBE was carried out for a relaxed PtSe crystal.

The calculation puts the density of states at the Fermi level at 0.68 states/eV/f.u. Its total DFT energy (no corrections) is -35.61 eV per cell. The calculation puts the size of the total moment at 0.0 μB/f.u.

Geometry as CIF:
```
data_PtSe
_chemical_formula_sum 'Pt4 Se4'
_space_group_name_H-M_alt 'I 41/a m d'
_space_group_IT_number 141
_cell_length_a 3.907
_cell_length_b 3.907
_cell_length_c 9.096
_cell_angle_alpha 90.00
_cell_angle_beta 90.00
_cell_angle_gamma 90.00
loop_
_space_group_symop_operation_xyz
'x,y,z'
'-x,-y,-z'
'-y+1/4,x+3/4,z+1/4'
'y+1/4,-x+3/4,-z+1/4'
'-x+1/2,-y,z+1/2'
'x+1/2,y,-z+1/2'
'y+1/4,-x+1/4,z+3/4'
'-y+1/4,x+1/4,-z+3/4'
'x,-y,-z'
'-x,y,z'
'-y+1/4,-x+1/4,-z+3/4'
'y+1/4,x+1/4,z+3/4'
'-x+1/2,y,-z+1/2'
'x+1/2,-y,z+1/2'
'y+1/4,x+3/4,-z+1/4'
'-y+1/4,-x+3/4,z+1/4'
'x+1/2,y+1/2,z+1/2'
'-x+1/2,-y+1/2,-z+1/2'
'-y+3/4,x+1/4,z+3/4'
'y+3/4,-x+1/4,-z+3/4'
'-x,-y+1/2,z'
'x,y+1/2,-z'
'y+3/4,-x+3/4,z+1/4'
'-y+3/4,x+3/4,-z+1/4'
'x+1/2,-y+1/2,-z+1/2'
'-x+1/2,y+1/2,z+1/2'
'-y+3/4,-x+3/4,-z+1/4'
'y+3/4,x+3/4,z+1/4'
'-x,y+1/2,-z'
'x,-y+1/2,z'
'y+3/4,x+1/4,-z+3/4'
'-y+3/4,-x+1/4,z+3/4'
loop_
_atom_site_label
_atom_site_type_symbol
_atom_site_fract_x
_atom_site_fract_y
_atom_site_fract_z
Pt1 Pt 0.000 0.250 0.375
Se1 Se 0.000 0.250 0.875
```

***

Record 4
A plane-wave DFT calculation with GGA-PBE was carried out for a relaxed PtSe2 crystal.

Its total DFT energy (no corrections) is -28.42 eV per cell. The calculation puts the size of the total moment at 0.0 μB/f.u.

Geometry as CIF:
```
data_PtSe2
_chemical_formula_sum 'Pt2 Se4'
_space_group_name_H-M_alt 'C 1 2/m 1'
_space_group_IT_number 12
_cell_length_a 6.514
_cell_length_b 3.761
_cell_length_c 6.020
_cell_angle_alpha 90.00
_cell_angle_beta 90.10
_cell_angle_gamma 90.00
loop_
_space_group_symop_operation_xyz
'x,y,z'
'-x,-y,-z'
'-x,y,-z'
'x,-y,z'
'x+1/2,y+1/2,z'
'-x+1/2,-y+1/2,-z'
'-x+1/2,y+1/2,-z'
'x+1/2,-y+1/2,z'
loop_
_atom_site_label
_atom_site_type_symbol
_atom_site_fract_x
_atom_site_fract_y
_atom_site_fract_z
Pt1 Pt 0.000 0.000 0.000
Se1 Se 0.166 0.500 0.783
```

***

Results for energy relative to the elements, uncorrected: -316; 137; 311; -400 (in meV per atom, following the order of the records).
Results for calculated volume: 247.00; 468.81; 138.85; 147.49 (in Å³/cell, following the order of the records).